A plane-wave DFT calculation with GGA-PBE was carried out for a relaxed LiIrW crystal.

Summary:
The space group is No. 216. For the theoretical density, the calculation gives 12.59 g/cm3. For the energy above the most stable polymorph in this dataset, the calculation gives 504 meV/atom. As for the calculated volume: 16.84 Å³ per atom. For the calculated formation energy, the calculation gives 0.520 eV/atom. The calculation puts the total moment at 0.000 μB/atom. The value obtained for the density of states at the Fermi level is 0.7483 states/eV per atom.

a b c (Å): 4.149 4.149 4.149
angles (deg): 60.00 60.00 60.00
Positions (direct):
1 Li 0.500 0.500 0.500
2 Ir 0.000 0.000 0.000
3 W 0.750 0.750 0.750



A plane-wave DFT calculation with GGA-PBE was carried out for a relaxed Ac4InI5 crystal.

Summary:
The space group is No. 12. For the theoretical density, the calculation gives 5.94 g/cm3. As for the calculated volume: 46.29 Å³ per atom. The uncorrected formation energy is -25.56 kcal/mol of atoms. The calculation puts the total moment at 0.000 μB/atom. The value obtained for the density of states at the Fermi level is 0.5648 states/eV per atom.

a b c (Å): 4.741 9.635 10.613
angles (deg): 101.24 102.91 90.00
Positions (direct):
1 I 0.830 0.180 0.660
2 I 0.170 0.326 0.340
3 I 0.830 0.674 0.660
4 I 0.170 0.820 0.340
5 I 0.500 0.500 0.000
6 Ac 0.342 0.930 0.685
7 Ac 0.658 0.070 0.315
8 Ac 0.998 0.770 0.996
9 Ac 0.002 0.230 0.004
10 In 0.500 0.000 0.000



A plane-wave DFT calculation with GGA-PBE was carried out for a relaxed AcBeSe2 crystal.

Summary:
The space group is No. 166. For the theoretical density, the calculation gives 4.88 g/cm3. As for the calculated volume: 33.48 Å³ per atom. The uncorrected formation energy is -20.69 kcal/mol of atoms. The calculation puts the total moment at 0.000 μB/atom. The value obtained for the density of states at the Fermi level is 0.6270 states/eV per atom.

a b c (Å): 4.499 4.499 8.069
angles (deg): 73.81 73.81 60.00
Positions (direct):
1 Se 0.089 0.089 0.734
2 Se 0.911 0.911 0.266
3 Be 0.000 0.000 0.000
4 Ac 0.500 0.500 0.500



A plane-wave DFT calculation with GGA-PBE was carried out for a relaxed ErPu3Pa2N6 crystal.

Summary:
The space group is No. 12. For the theoretical density, the calculation gives 13.28 g/cm3. As for the calculated volume: 15.06 Å³ per atom. The uncorrected formation energy is -34.28 kcal/mol of atoms. The calculation puts the total moment at 1.332 μB/atom. The value obtained for the density of states at the Fermi level is 1.1414 states/eV per atom.

a b c (Å): 6.054 6.054 6.039
angles (deg): 99.62 99.62 119.97
Positions (direct):
1 Pu 0.835 0.165 0.500
2 Pu 0.165 0.835 0.500
3 Pu 0.500 0.500 0.500
4 Pa 0.333 0.667 0.000
5 Pa 0.667 0.333 0.000
6 Er 0.000 0.000 0.000
7 N 0.417 0.079 0.236
8 N 0.741 0.741 0.236
9 N 0.921 0.583 0.764
10 N 0.583 0.921 0.764
11 N 0.259 0.259 0.764
12 N 0.079 0.417 0.236



A plane-wave DFT calculation with GGA-PBE was carried out for a relaxed Tb4Y3In crystal.

Summary:
The space group is No. 1. For the theoretical density, the calculation gives 6.89 g/cm3. For the energy above the most stable polymorph in this dataset, the calculation gives 0 meV/atom. As for the calculated volume: 30.64 Å³ per atom. For the calculated formation energy, the calculation gives -0.116 eV/atom. The calculation puts the total moment at 0.005 μB/atom. The value obtained for the density of states at the Fermi level is 1.4518 states/eV per atom.

a b c (Å): 7.102 12.787 7.105
angles (deg): 65.53 59.89 65.52
Positions (direct):
1 Tb 0.041 0.379 0.225
2 Tb 0.280 0.879 0.983
3 Tb 0.795 0.880 0.466
4 Tb 0.044 0.366 0.737
5 Tb 0.578 0.634 0.271
6 Tb 0.848 0.120 0.519
7 Tb 0.584 0.628 0.767
8 Tb 0.330 0.121 0.034
9 Y 0.087 0.635 0.761
10 Y 0.548 0.372 0.731
11 Y 0.794 0.881 0.983
12 Y 0.554 0.365 0.228
13 Y 0.090 0.621 0.274
14 Y 0.330 0.119 0.519
15 In 0.292 0.879 0.478
16 In 0.835 0.121 0.022



A plane-wave DFT calculation with GGA-PBE was carried out for a relaxed Tl3HgBr3 crystal.

Summary:
The space group is No. 62. For the theoretical density, the calculation gives 6.69 g/cm3. For the energy above the most stable polymorph in this dataset, the calculation gives 0 meV/atom. As for the calculated volume: 37.34 Å³ per atom. The uncorrected formation energy is -16.03 kcal/mol of atoms. The calculation puts the total moment at 0.000 μB/atom. The value obtained for the density of states at the Fermi level is 0.0000 states/eV per atom.

a b c (Å): 4.517 13.777 16.801
angles (deg): 90.00 90.00 90.00
Positions (direct):
1 Tl 0.750 0.419 0.595
2 Tl 0.250 0.117 0.583
3 Tl 0.750 0.919 0.905
4 Tl 0.750 0.228 0.347
5 Tl 0.250 0.272 0.847
6 Tl 0.250 0.581 0.405
7 Tl 0.250 0.617 0.917
8 Tl 0.250 0.081 0.095
9 Tl 0.750 0.383 0.083
10 Tl 0.750 0.728 0.153
11 Tl 0.750 0.883 0.417
12 Tl 0.250 0.772 0.653
13 Br 0.750 0.158 0.977
14 Br 0.750 0.232 0.703
15 Br 0.250 0.557 0.107
16 Br 0.750 0.443 0.893
17 Br 0.250 0.342 0.477
18 Br 0.750 0.732 0.797
19 Br 0.250 0.842 0.023
20 Br 0.750 0.658 0.523
21 Br 0.250 0.057 0.393
22 Br 0.250 0.768 0.297
23 Br 0.750 0.943 0.607
24 Br 0.250 0.268 0.203
25 Hg 0.750 0.978 0.222
26 Hg 0.250 0.522 0.722
27 Hg 0.250 0.022 0.778
28 Hg 0.750 0.478 0.278



A plane-wave DFT calculation with GGA-PBE was carried out for a relaxed DyZrCdAg crystal.

Summary:
The space group is No. 216. For the theoretical density, the calculation gives 8.51 g/cm3. As for the calculated volume: 23.11 Å³ per atom. For the calculated formation energy, the calculation gives -0.104 eV/atom. The calculation puts the total moment at 0.305 μB/atom. The value obtained for the density of states at the Fermi level is 1.0275 states/eV per atom.

a b c (Å): 5.075 5.075 5.075
angles (deg): 60.00 60.00 60.00
Positions (direct):
1 Ag 0.250 0.250 0.250
2 Cd 0.750 0.750 0.750
3 Zr 0.000 0.000 0.000
4 Dy 0.500 0.500 0.500



A plane-wave DFT calculation with GGA-PBE was carried out for a relaxed CeSiAu crystal.

Summary:
The space group is No. 62. For the theoretical density, the calculation gives 8.76 g/cm3. As for the calculated volume: 23.07 Å³ per atom. The uncorrected formation energy is -11.70 kcal/mol of atoms. The calculation puts the total moment at 0.000 μB/atom. The value obtained for the density of states at the Fermi level is 0.9373 states/eV per atom.

a b c (Å): 4.036 7.272 9.435
angles (deg): 90.00 90.00 90.00
Positions (direct):
1 Ce 0.750 0.183 0.649
2 Ce 0.250 0.817 0.351
3 Ce 0.750 0.683 0.851
4 Ce 0.250 0.317 0.149
5 Si 0.750 0.623 0.155
6 Si 0.250 0.377 0.845
7 Si 0.750 0.123 0.345
8 Si 0.250 0.877 0.655
9 Au 0.250 0.033 0.893
10 Au 0.250 0.533 0.607
11 Au 0.750 0.967 0.107
12 Au 0.750 0.467 0.393



A plane-wave DFT calculation with GGA-PBE was carried out for a relaxed YReSb2I crystal.

Summary:
The space group is No. 123. For the theoretical density, the calculation gives 7.14 g/cm3. For the energy above the most stable polymorph in this dataset, the calculation gives 0 meV/atom. As for the calculated volume: 30.03 Å³ per atom. The uncorrected formation energy is 10.64 kcal/mol of atoms. The calculation puts the total moment at 0.000 μB/atom. The value obtained for the density of states at the Fermi level is 0.7346 states/eV per atom.

a b c (Å): 5.132 5.132 5.701
angles (deg): 90.00 90.00 90.00
Positions (direct):
1 Y 0.500 0.500 0.500
2 Sb 0.000 0.500 0.000
3 Sb 0.500 0.000 0.000
4 I 0.000 0.000 0.500
5 Re 0.000 0.000 0.000



A plane-wave DFT calculation with GGA-PBE was carried out for a relaxed Mn3HgAs crystal.

Summary:
The space group is No. 221. For the theoretical density, the calculation gives 5.95 g/cm3. For the energy above the most stable polymorph in this dataset, the calculation gives 644 meV/atom. As for the calculated volume: 24.57 Å³ per atom. For the calculated formation energy, the calculation gives 1.129 eV/atom. The calculation puts the total moment at 2.457 μB/atom. The value obtained for the density of states at the Fermi level is 0.2575 states/eV per atom.

a b c (Å): 4.971 4.971 4.971
angles (deg): 90.00 90.00 90.00
Positions (direct):
1 Hg 0.000 0.000 0.000
2 Mn 0.000 0.000 0.500
3 Mn 0.000 0.500 0.000
4 Mn 0.500 0.000 0.000
5 As 0.500 0.500 0.500



A plane-wave DFT calculation with GGA-PBE was carried out for a relaxed Pa2GeAs3 crystal.

Summary:
The space group is No. 115. For the theoretical density, the calculation gives 9.59 g/cm3. As for the calculated volume: 21.92 Å³ per atom. For the calculated formation energy, the calculation gives -0.866 eV/atom. The calculation puts the total moment at 0.000 μB/atom. The value obtained for the density of states at the Fermi level is 0.4444 states/eV per atom.

a b c (Å): 4.012 4.012 8.173
angles (deg): 90.00 90.00 90.00
Positions (direct):
1 Pa 0.000 0.500 0.285
2 Pa 0.500 0.000 0.715
3 As 0.500 0.000 0.357
4 As 0.000 0.500 0.643
5 As 0.000 0.000 0.000
6 Ge 0.500 0.500 0.000



A plane-wave DFT calculation with GGA-PBE was carried out for a relaxed SiTe3 crystal.

Summary:
The space group is No. 187. For the theoretical density, the calculation gives 6.20 g/cm3. As for the calculated volume: 27.51 Å³ per atom. The uncorrected formation energy is 6.54 kcal/mol of atoms. The calculation puts the total moment at 0.000 μB/atom. The value obtained for the density of states at the Fermi level is 0.6612 states/eV per atom.

a b c (Å): 3.920 3.920 8.268
angles (deg): 90.00 90.00 120.00
Positions (direct):
1 Te 0.667 0.333 0.784
2 Te 0.667 0.333 0.216
3 Te 0.000 0.000 0.500
4 Si 0.000 0.000 0.000